This record from the Alexandria database describes a crystal of TcNiPCl2 relaxed with PBEsol. The functional is meta-GGA SCAN.

- raw formation energy (meV per atom) = 573.5
- space-group type = No. 123
- distance to the lowest polymorph of the same formula (eV/atom) = 0.054
- final energy (eV per atom) = -14.94
- calculated volume (Å³/atom) = 19.94

Cell lengths 4.688, 4.688, 4.535 Å; angles 90.00, 90.00, 90.00 degrees
Positions (direct):
Tc (0.000, 0.000, 0.000)
Ni (0.500, 0.500, 0.500)
P (0.000, 0.000, 0.500)
Cl (0.000, 0.500, 0.000)
Cl (0.500, 0.000, 0.000)



This record from the Alexandria database describes a crystal of LaMn2Ru relaxed with PBEsol. The functional is meta-GGA SCAN.

- space-group type = No. 123
- formation energy (meV/atom) = 4
- final energy (eV per atom) = -28.61
- calculated volume (Å³/atom) = 17.11

Cell lengths 3.072, 3.072, 7.249 Å; angles 90.00, 90.00, 90.00 degrees
Positions (direct):
La (0.000, 0.000, 0.000)
Mn (0.500, 0.500, 0.316)
Mn (0.500, 0.500, 0.684)
Ru (0.000, 0.000, 0.500)